Compound: Sc3AgC
Source: the Alexandria database
Functional: GGA-PBE
Structure: optimized geometry

```
Sc3AgC
1.0
5.3409 -6.1558 0.0000
5.3409 6.1558 0.0000
-0.0179 0.0000 5.7109
Sc Ag C
12 4 4
direct
0.0547 0.7225 0.9227 Sc
0.1885 0.5703 0.4255 Sc
0.2775 0.9453 0.5773 Sc
0.3154 0.4506 0.9140 Sc
0.4297 0.8115 0.0745 Sc
0.4506 0.3154 0.4140 Sc
0.5494 0.6846 0.5860 Sc
0.5703 0.1885 0.9255 Sc
0.6846 0.5494 0.0860 Sc
0.7225 0.0547 0.4227 Sc
0.8115 0.4297 0.5745 Sc
0.9453 0.2775 0.0773 Sc
0.0716 0.2078 0.6052 Ag
0.2078 0.0716 0.1052 Ag
0.7922 0.9284 0.8948 Ag
0.9284 0.7922 0.3948 Ag
0.2934 0.7066 0.7500 C
0.4336 0.5664 0.2500 C
0.5664 0.4336 0.7500 C
0.7066 0.2934 0.2500 C
```

Values from the calculation:
- total DFT energy (no corrections) (eV per atom) = -6.5447
- Fermi-level density of states (states/eV/f.u.) = 3.09
- relative energy among the computed polymorphs (eV per formula unit) = 0.335
- energy of formation from the pure elements (eV/atom) = -0.3308

---

Compound: Sc3AgC
Source: the Alexandria database
Functional: GGA-PBE
Structure: optimized geometry

```
Sc3AgC
1.0
3.0839 -5.4365 0.0000
3.0839 5.4365 0.0000
0.0000 0.0000 6.3461
Sc Ag C
6 2 2
direct
0.0000 0.0000 0.0000 Sc
0.0000 0.0000 0.5000 Sc
0.0161 0.4921 0.7500 Sc
0.4921 0.0161 0.2500 Sc
0.5079 0.9839 0.7500 Sc
0.9839 0.5079 0.2500 Sc
0.4894 0.5106 0.2500 Ag
0.5106 0.4894 0.7500 Ag
0.1343 0.8657 0.7500 C
0.8657 0.1343 0.2500 C
```

Values from the calculation:
- total DFT energy (no corrections) (eV per atom) = -6.0426
- Fermi-level density of states (states/eV/f.u.) = 2.87
- relative energy among the computed polymorphs (eV per formula unit) = 2.846
- energy of formation from the pure elements (eV/atom) = 0.1713

---

Compound: Sc3AgC
Source: the Alexandria database
Functional: GGA-PBE
Structure: optimized geometry

```
Sc3AgC
1.0
5.6785 0.0000 0.0000
-0.0112 5.7159 0.0000
-1.4092 -0.0033 5.9304
Sc Ag C
6 2 2
direct
0.1844 0.3441 0.2472 Sc
0.2506 0.8011 0.5002 Sc
0.3149 0.3442 0.7528 Sc
0.6851 0.6558 0.2472 Sc
0.7494 0.1989 0.4998 Sc
0.8156 0.6559 0.7528 Sc
0.2506 0.8859 0.0007 Ag
0.7494 0.1141 0.9993 Ag
0.0000 0.5000 0.5000 C
0.5000 0.5000 0.5000 C
```

Values from the calculation:
- total DFT energy (no corrections) (eV per atom) = -6.5176
- Fermi-level density of states (states/eV/f.u.) = 5.38
- relative energy among the computed polymorphs (eV per formula unit) = 0.471
- energy of formation from the pure elements (eV/atom) = -0.3036

---

Compound: Sc3AgC
Source: the Alexandria database
Functional: GGA-PBE
Structure: optimized geometry

```
Sc3AgC
1.0
6.4533 0.0000 0.0000
0.0000 8.5168 0.0000
0.0000 0.0000 7.2880
Sc Ag C
12 4 4
direct
0.1026 0.0741 0.1483 Sc
0.1026 0.4259 0.1483 Sc
0.2018 0.2500 0.7298 Sc
0.2982 0.7500 0.2298 Sc
0.3974 0.5741 0.6483 Sc
0.3974 0.9259 0.6483 Sc
0.6026 0.0741 0.3517 Sc
0.6026 0.4259 0.3517 Sc
0.7018 0.2500 0.7702 Sc
0.7982 0.7500 0.2702 Sc
0.8974 0.5741 0.8517 Sc
0.8974 0.9259 0.8517 Sc
0.0000 0.0000 0.5000 Ag
0.0000 0.5000 0.5000 Ag
0.5000 0.0000 0.0000 Ag
0.5000 0.5000 0.0000 Ag
0.0259 0.7500 0.0344 C
0.4741 0.2500 0.5344 C
0.5259 0.7500 0.4656 C
0.9741 0.2500 0.9656 C
```

Values from the calculation:
- total DFT energy (no corrections) (eV per atom) = -6.1460
- Fermi-level density of states (states/eV/f.u.) = 2.51
- relative energy among the computed polymorphs (eV per formula unit) = 2.329
- energy of formation from the pure elements (eV/atom) = 0.0680

---

Compound: Sc3AgC
Source: the Alexandria database
Functional: GGA-PBE
Structure: optimized geometry

```
Sc3AgC
1.0
4.0881 0.0000 0.0000
-2.0440 3.5404 0.0000
0.0000 0.0000 15.5025
Sc Ag C
6 2 2
direct
0.0000 0.0000 0.2500 Sc
0.0000 0.0000 0.7500 Sc
0.3333 0.6667 0.0651 Sc
0.3333 0.6667 0.4349 Sc
0.6667 0.3333 0.5651 Sc
0.6667 0.3333 0.9349 Sc
0.3333 0.6667 0.2500 Ag
0.6667 0.3333 0.7500 Ag
0.0000 0.0000 0.0000 C
0.0000 0.0000 0.5000 C
```

Values from the calculation:
- total DFT energy (no corrections) (eV per atom) = -5.7118
- Fermi-level density of states (states/eV/f.u.) = 4.22
- relative energy among the computed polymorphs (eV per formula unit) = 4.500
- energy of formation from the pure elements (eV/atom) = 0.5022

---

Compound: ScAg3C
Source: the Alexandria database
Functional: GGA-PBE
Structure: optimized geometry

```
ScAg3C
1.0
5.2445 0.0000 0.0000
0.0000 5.2445 0.0000
0.0000 0.0000 5.2445
Sc Ag C
1 3 1
direct
0.0000 0.0000 0.0000 Sc
0.0000 0.0000 0.5000 Ag
0.0000 0.5000 0.0000 Ag
0.5000 0.0000 0.0000 Ag
0.5000 0.5000 0.5000 C
```

Values from the calculation:
- total DFT energy (no corrections) (eV per atom) = -2.5740
- Fermi-level density of states (states/eV/f.u.) = 5.97
- relative energy among the computed polymorphs (eV per formula unit) = 8.060
- energy of formation from the pure elements (eV/atom) = 2.2479

---

Compound: Sc3AgC
Source: the Alexandria database
Functional: GGA-PBE
Structure: optimized geometry

```
Sc3AgC
1.0
2.9401 1.6975 6.7012
-2.9401 1.6975 6.7012
0.0000 -3.3949 6.7012
Sc Ag C
6 2 2
direct
0.0799 0.4420 0.7898 Sc
0.2102 0.9201 0.5580 Sc
0.4420 0.7898 0.0799 Sc
0.5580 0.2102 0.9201 Sc
0.7898 0.0799 0.4420 Sc
0.9201 0.5580 0.2102 Sc
0.3417 0.3417 0.3417 Ag
0.6583 0.6583 0.6583 Ag
0.1634 0.1634 0.1634 C
0.8366 0.8366 0.8366 C
```

Values from the calculation:
- total DFT energy (no corrections) (eV per atom) = -6.4553
- Fermi-level density of states (states/eV/f.u.) = 2.77
- relative energy among the computed polymorphs (eV per formula unit) = 0.783
- energy of formation from the pure elements (eV/atom) = -0.2414

---

Compound: Sc3AgC
Source: the Alexandria database
Functional: GGA-PBE
Structure: optimized geometry

```
Sc3AgC
1.0
3.2819 0.0000 0.0000
0.0000 4.5116 0.0000
-0.1233 0.0000 6.3407
Sc Ag C
3 1 1
direct
0.0000 0.0000 0.0000 Sc
0.4904 0.5000 0.7534 Sc
0.5096 0.5000 0.2466 Sc
0.0000 0.0000 0.5000 Ag
0.0000 0.5000 0.0000 C
```

Values from the calculation:
- total DFT energy (no corrections) (eV per atom) = -6.5254
- Fermi-level density of states (states/eV/f.u.) = 5.57
- relative energy among the computed polymorphs (eV per formula unit) = 0.432
- energy of formation from the pure elements (eV/atom) = -0.3115

---

Compound: Sc2AgSnC
Source: the Alexandria database
Functional: GGA-PBE
Structure: optimized geometry

```
Sc2AgSnC
1.0
4.5053 0.0000 0.0000
0.0000 4.5053 0.0000
0.0000 0.0000 4.4977
Sc Ag Sn C
2 1 1 1
direct
0.0000 0.5000 0.0000 Sc
0.5000 0.0000 0.0000 Sc
0.0000 0.0000 0.5000 Ag
0.5000 0.5000 0.5000 Sn
0.0000 0.0000 0.0000 C
```

Values from the calculation:
- total DFT energy (no corrections) (eV per atom) = -6.0619
- Fermi-level density of states (states/eV/f.u.) = 2.07
- energy of formation from the pure elements (eV/atom) = -0.3137

---

Compound: Sc2TcAgC
Source: the Alexandria database
Functional: GGA-PBE
Structure: optimized geometry

```
Sc2TcAgC
1.0
4.5700 0.0000 0.0000
0.0000 4.5700 0.0000
0.0000 0.0000 3.9759
Sc Tc Ag C
2 1 1 1
direct
0.0000 0.5000 0.0000 Sc
0.5000 0.0000 0.0000 Sc
0.0000 0.0000 0.5000 Tc
0.5000 0.5000 0.5000 Ag
0.0000 0.0000 0.0000 C
```

Values from the calculation:
- total DFT energy (no corrections) (eV per atom) = -7.3384
- Fermi-level density of states (states/eV/f.u.) = 3.71
- energy of formation from the pure elements (eV/atom) = -0.3175

---

Compound: Th2ScAgC
Source: the Alexandria database
Functional: GGA-PBE
Structure: optimized geometry

```
Th2ScAgC
1.0
5.1052 0.0000 0.0000
0.0000 5.1052 0.0000
0.0000 0.0000 4.5198
Th Sc Ag C
2 1 1 1
direct
0.0000 0.5000 0.0000 Th
0.5000 0.0000 0.0000 Th
0.0000 0.0000 0.5000 Sc
0.5000 0.5000 0.5000 Ag
0.0000 0.0000 0.0000 C
```

Values from the calculation:
- total DFT energy (no corrections) (eV per atom) = -6.8363
- Fermi-level density of states (states/eV/f.u.) = 5.07
- energy of formation from the pure elements (eV/atom) = -0.1871

---

Compound: ThSc2AgC
Source: the Alexandria database
Functional: GGA-PBE
Structure: optimized geometry

```
ThSc2AgC
1.0
4.5624 0.0000 0.0000
0.0000 4.5624 0.0000
0.0000 0.0000 5.0789
Th Sc Ag C
1 2 1 1
direct
0.0000 0.0000 0.0000 Th
0.0000 0.5000 0.5000 Sc
0.5000 0.0000 0.5000 Sc
0.5000 0.5000 0.0000 Ag
0.0000 0.0000 0.5000 C
```

Values from the calculation:
- total DFT energy (no corrections) (eV per atom) = -6.7081
- Fermi-level density of states (states/eV/f.u.) = 5.16
- energy of formation from the pure elements (eV/atom) = -0.2765

---

Compound: ScTi2AgC
Source: the Alexandria database
Functional: GGA-PBE
Structure: optimized geometry

```
ScTi2AgC
1.0
4.2209 0.0000 0.0000
0.0000 4.2209 0.0000
0.0000 0.0000 4.5033
Sc Ti Ag C
1 2 1 1
direct
0.0000 0.0000 0.0000 Sc
0.0000 0.5000 0.5000 Ti
0.5000 0.0000 0.5000 Ti
0.5000 0.5000 0.0000 Ag
0.0000 0.0000 0.5000 C
```

Values from the calculation:
- total DFT energy (no corrections) (eV per atom) = -7.1778
- Fermi-level density of states (states/eV/f.u.) = 7.10
- relative energy among the computed polymorphs (eV per formula unit) = 0.000
- energy of formation from the pure elements (eV/atom) = -0.3385

---

Compound: ScTi2AgC
Source: the Alexandria database
Functional: GGA-PBE
Structure: optimized geometry

```
ScTi2AgC
1.0
5.1379 0.0000 0.0000
0.0000 5.1379 0.0000
0.0000 0.0000 3.9092
Sc Ti Ag C
1 2 1 1
direct
0.0000 0.0000 0.0000 Sc
0.0000 0.5000 0.5000 Ti
0.5000 0.0000 0.5000 Ti
0.5000 0.5000 0.5000 Ag
0.5000 0.5000 0.0000 C
```

Values from the calculation:
- total DFT energy (no corrections) (eV per atom) = -5.3999
- Fermi-level density of states (states/eV/f.u.) = 4.39
- relative energy among the computed polymorphs (eV per formula unit) = 8.889
- energy of formation from the pure elements (eV/atom) = 1.4394

---

Compound: Sc2TlAgC
Source: the Alexandria database
Functional: GGA-PBE
Structure: optimized geometry

```
Sc2TlAgC
1.0
4.5269 0.0000 0.0000
0.0000 4.5269 0.0000
0.0000 0.0000 4.5151
Sc Tl Ag C
2 1 1 1
direct
0.0000 0.5000 0.0000 Sc
0.5000 0.0000 0.0000 Sc
0.0000 0.0000 0.5000 Tl
0.5000 0.5000 0.5000 Ag
0.5000 0.5000 0.0000 C
```

Values from the calculation:
- total DFT energy (no corrections) (eV per atom) = -5.5956
- Fermi-level density of states (states/eV/f.u.) = 2.95
- energy of formation from the pure elements (eV/atom) = -0.1747

---

Compound: Tm2ScAgC
Source: the Alexandria database
Functional: GGA-PBE
Structure: optimized geometry

```
Tm2ScAgC
1.0
4.8699 0.0000 0.0000
0.0000 4.8699 0.0000
0.0000 0.0000 4.4301
Tm Sc Ag C
2 1 1 1
direct
0.0000 0.5000 0.0000 Tm
0.5000 0.0000 0.0000 Tm
0.0000 0.0000 0.5000 Sc
0.5000 0.5000 0.5000 Ag
0.0000 0.0000 0.0000 C
```

Values from the calculation:
- total DFT energy (no corrections) (eV per atom) = -5.7887
- Fermi-level density of states (states/eV/f.u.) = 6.60
- energy of formation from the pure elements (eV/atom) = -0.3187

---

Compound: TmSc2AgC
Source: the Alexandria database
Functional: GGA-PBE
Structure: optimized geometry

```
TmSc2AgC
1.0
4.4749 0.0000 0.0000
0.0000 4.4749 0.0000
0.0000 0.0000 4.9436
Tm Sc Ag C
1 2 1 1
direct
0.0000 0.0000 0.0000 Tm
0.0000 0.5000 0.5000 Sc
0.5000 0.0000 0.5000 Sc
0.5000 0.5000 0.0000 Ag
0.0000 0.0000 0.5000 C
```

Values from the calculation:
- total DFT energy (no corrections) (eV per atom) = -6.2046
- Fermi-level density of states (states/eV/f.u.) = 3.33
- energy of formation from the pure elements (eV/atom) = -0.3626

---

Compound: Sc2AgWC
Source: the Alexandria database
Functional: GGA-PBE
Structure: optimized geometry

```
Sc2AgWC
1.0
4.5352 0.0000 0.0000
0.0000 4.5352 0.0000
0.0000 0.0000 4.1217
Sc Ag W C
2 1 1 1
direct
0.0000 0.5000 0.0000 Sc
0.5000 0.0000 0.0000 Sc
0.0000 0.0000 0.5000 Ag
0.5000 0.5000 0.5000 W
0.5000 0.5000 0.0000 C
```

Values from the calculation:
- total DFT energy (no corrections) (eV per atom) = -7.6678
- Fermi-level density of states (states/eV/f.u.) = 5.18
- energy of formation from the pure elements (eV/atom) = -0.1295

---

Compound: ZrSc2AgC
Source: the Alexandria database
Functional: GGA-PBE
Structure: optimized geometry

```
ZrSc2AgC
1.0
4.5036 0.0000 0.0000
0.0000 4.5036 0.0000
0.0000 0.0000 4.5886
Zr Sc Ag C
1 2 1 1
direct
0.0000 0.0000 0.0000 Zr
0.0000 0.5000 0.5000 Sc
0.5000 0.0000 0.5000 Sc
0.5000 0.5000 0.0000 Ag
0.0000 0.0000 0.5000 C
```

Values from the calculation:
- total DFT energy (no corrections) (eV per atom) = -6.9996
- Fermi-level density of states (states/eV/f.u.) = 7.12
- energy of formation from the pure elements (eV/atom) = -0.3423

---

Compound: Zr2ScAgC
Source: the Alexandria database
Functional: GGA-PBE
Structure: optimized geometry

```
Zr2ScAgC
1.0
4.5610 0.0000 0.0000
0.0000 4.5610 0.0000
0.0000 0.0000 4.5017
Zr Sc Ag C
2 1 1 1
direct
0.0000 0.5000 0.0000 Zr
0.5000 0.0000 0.0000 Zr
0.0000 0.0000 0.5000 Sc
0.5000 0.5000 0.5000 Ag
0.0000 0.0000 0.0000 C
```

Values from the calculation:
- total DFT energy (no corrections) (eV per atom) = -7.4288
- Fermi-level density of states (states/eV/f.u.) = 5.77
- energy of formation from the pure elements (eV/atom) = -0.3282